NpCo5P3: optimized geometry, PBE.

Geometry as POSCAR:
```
NpCo5P3
1.0
1.7835 -5.7087 0.0000
1.7835 5.7087 0.0000
0.0000 0.0000 11.2313
Np Co P
2 10 6
direct
0.1539 0.8461 0.7500
0.8461 0.1539 0.2500
0.0000 0.0000 0.0000
0.0000 0.0000 0.5000
0.1989 0.8011 0.0690
0.1989 0.8011 0.4310
0.4450 0.5550 0.6423
0.4450 0.5550 0.8577
0.5550 0.4450 0.1423
0.5550 0.4450 0.3577
0.8011 0.1989 0.5690
0.8011 0.1989 0.9310
0.1146 0.8854 0.2500
0.3827 0.6173 0.0435
0.3827 0.6173 0.4565
0.6173 0.3827 0.5435
0.6173 0.3827 0.9565
0.8854 0.1146 0.7500
```

Summary:
density of states at the Fermi level	24.197	states/eV/cell
E	-7.82	eV per atom
total moment	6.0	Bohr magnetons per cell

InTcCl2: optimized geometry, PBE.

Geometry as POSCAR:
```
InTcCl2
1.0
7.1145 0.0000 0.0000
0.0000 7.1145 0.0000
0.0000 0.0000 7.1145
In Tc Cl
4 4 8
direct
0.0000 0.0000 0.0000
0.0000 0.5000 0.5000
0.5000 0.0000 0.5000
0.5000 0.5000 0.0000
0.2500 0.2500 0.7500
0.2500 0.7500 0.2500
0.7500 0.2500 0.2500
0.7500 0.7500 0.7500
0.0000 0.0000 0.5000
0.0000 0.5000 0.0000
0.2500 0.2500 0.2500
0.2500 0.7500 0.7500
0.5000 0.0000 0.0000
0.5000 0.5000 0.5000
0.7500 0.2500 0.7500
0.7500 0.7500 0.2500
```

Summary:
density of states at the Fermi level	19.927	states/eV/cell
uncorrected formation energy	549	meV/atom
E above lowest polymorph	0.832	eV per atom
total moment	16.1	Bohr magnetons per cell

TbPm3Dy2Er6: optimized geometry, PBE.

Geometry as POSCAR:
```
TbPm3Dy2Er6
1.0
3.0801 -5.3316 0.0000
3.0801 5.3316 0.0000
-2.0458 0.0000 11.5419
Tb Pm Dy Er
1 3 2 6
direct
0.0000 0.0000 0.0000
0.1667 0.8333 0.5000
0.5000 0.5000 0.5000
0.8333 0.1667 0.5000
0.3333 0.6667 0.0000
0.6667 0.3333 0.0000
0.0828 0.4162 0.2474
0.2506 0.2506 0.7526
0.4162 0.0828 0.2474
0.5838 0.9172 0.7526
0.7494 0.7494 0.2474
0.9172 0.5838 0.7526
```

Summary:
density of states at the Fermi level	15.212	states/eV/cell
E	-4.60	eV per atom
total moment	0.0	Bohr magnetons per cell

Copy entry 2 word for word.
InTcCl2: optimized geometry, PBE.

Geometry as POSCAR:
```
InTcCl2
1.0
7.1145 0.0000 0.0000
0.0000 7.1145 0.0000
0.0000 0.0000 7.1145
In Tc Cl
4 4 8
direct
0.0000 0.0000 0.0000
0.0000 0.5000 0.5000
0.5000 0.0000 0.5000
0.5000 0.5000 0.0000
0.2500 0.2500 0.7500
0.2500 0.7500 0.2500
0.7500 0.2500 0.2500
0.7500 0.7500 0.7500
0.0000 0.0000 0.5000
0.0000 0.5000 0.0000
0.2500 0.2500 0.2500
0.2500 0.7500 0.7500
0.5000 0.0000 0.0000
0.5000 0.5000 0.5000
0.7500 0.2500 0.7500
0.7500 0.7500 0.2500
```

Summary:
density of states at the Fermi level	19.927	states/eV/cell
uncorrected formation energy	549	meV/atom
E above lowest polymorph	0.832	eV per atom
total moment	16.1	Bohr magnetons per cell